Material: SrLiSnSe3
Method: DFT, GGA-PBE
State: relaxed

Electronic total energy in eV/atom: -4.091
V in Å³ per cell: 315
Crystal system: monoclinic
Formation energy without anion corrections in eV per atom: -1.08

Cell: 4.189 8.689 8.999 Å, 105.71 90.00 90.00°
Sites, in units of the cell vectors:
Li 0.250 0.090 0.594
Li 0.750 0.910 0.406
Sr 0.250 0.198 0.246
Sr 0.750 0.802 0.754
Se 0.750 0.894 0.121
Se 0.250 0.785 0.484
Se 0.250 0.106 0.879
Se 0.250 0.555 0.824
Se 0.750 0.445 0.176
Se 0.750 0.215 0.516
Sn 0.750 0.328 0.847
Sn 0.250 0.672 0.153